First-principles (PBE) data for an optimized crystal structure of SrCaY2, as listed in Alexandria.

a b c (Å): 8.4681 8.4681 8.4681
angles (deg): 90.00 90.00 90.00
With the nearest neighbours (Å) after each atom.
Space group F-43m (No. 216)
One atom of each set of equivalent atoms:
Sr (0.0000, 0.0000, 0.0000)  4 Ca 3.67, 4 Y 3.67
Ca (0.2500, 0.2500, 0.2500)  4 Y 3.67, 4 Sr 3.67
Y (0.0000, 0.0000, 0.5000)  4 Y 3.67, 4 Ca 3.67
Y (0.2500, 0.2500, 0.7500)  4 Sr 3.67, 4 Y 3.67

## Properties
Its density of states at the Fermi level is 24.2 states/eV/cell. The relative energy among the computed polymorphs comes out at 0.48 eV/f.u. The calculation puts the energy of formation at 0.82 eV per formula unit.